[1]
K2SrAg (PBE-GGA, relaxed); calculated formation energy = 10.6 kJ per mole of atoms; total moment = 0.0 μB/f.u.; energy relative to the lowest polymorph listed for this composition = 0.1404 eV/atom
1.0
-3.243 1.208 -2.346
-2.594 -0.890 3.155
1.085 10.263 3.786
K Sr Ag
2 1 1
direct
0.000 0.000 0.929
0.000 0.000 0.571
0.500 0.500 0.250
0.500 0.500 0.750



[2]
K2SrAg (PBE-GGA, relaxed); calculated formation energy = 10.8 kJ per mole of atoms; total moment = 0.0 μB/f.u.; energy relative to the lowest polymorph listed for this composition = 0.1431 eV/atom
1.0
5.162 0.000 0.000
0.000 5.167 0.000
0.000 0.000 6.519
K Ag Sr
2 1 1
direct
0.000 0.000 0.000
0.500 0.500 0.000
0.000 0.500 0.500
0.500 0.000 0.500



[3]
KSr3Ag (PBE-GGA, relaxed); calculated formation energy = -6.7 kJ per mole of atoms; total moment = 0.0 μB/f.u.; energy relative to the lowest polymorph listed for this composition = 0.0036 eV/atom
1.0
6.360 0.000 0.000
0.000 6.360 0.000
0.000 0.000 6.360
Sr Ag K
3 1 1
direct
0.000 0.000 0.500
0.500 0.000 0.000
0.000 0.500 0.000
0.000 0.000 0.000
0.500 0.500 0.500